## K2MgOs (PBE-GGA)

Data for a relaxed K2MgOs crystal.

Calculated values
- ΔH_f (0 K): 1.08 eV per atom

Cell: 5.930 2.882 5.522 Å, 86.10 90.00 90.00°
Positions (direct):
K1 0.000 0.013 0.990
K2 0.000 0.487 0.510
Mg1 0.500 0.250 0.250
Os1 0.500 0.750 0.750



## K2MgOs (PBE-GGA)

Data for a relaxed K2MgOs crystal.

Calculated values
- ΔH_f (0 K): 0.79 eV per atom

Cell: 3.586 3.586 10.168 Å, 90.00 90.00 90.00°
Positions (direct):
K1 0.000 0.000 0.911
K2 0.500 0.500 0.329
Mg1 0.000 0.000 0.592
Os1 0.500 0.500 0.668



## KMg2Os (PBE-GGA)

Data for a relaxed KMg2Os crystal.

Calculated values
- ΔH_f (0 K): 0.66 eV per atom

Cell: 2.907 2.907 10.904 Å, 90.00 90.00 114.74°
Positions (direct):
K1 0.500 0.500 0.723
Mg1 0.000 0.000 0.029
Mg2 0.500 0.500 0.276
Os1 0.000 0.000 0.472



## KMg2Os (PBE-GGA)

Data for a relaxed KMg2Os crystal.

Calculated values
- ΔH_f (0 K): 0.95 eV per atom

Cell: 5.493 5.493 5.493 Å, 133.42 133.42 67.99°
Positions (direct):
K1 0.750 0.250 0.500
Mg1 0.000 0.000 0.000
Mg2 0.250 0.750 0.500
Os1 0.500 0.500 0.000



## K2MgOs (PBE-GGA)

Data for a relaxed K2MgOs crystal.

Calculated values
- ΔH_f (0 K): 0.97 eV per atom

Cell: 12.396 12.396 12.396 Å, 14.72 14.72 14.72°
Positions (direct):
K1 0.019 0.019 0.019
K2 0.241 0.241 0.241
Mg1 0.480 0.480 0.480
Os1 0.760 0.760 0.760



## KMg2OsPb (PBE-GGA)

Data for a relaxed KMg2OsPb crystal.

Calculated values
- ΔH_f (0 K): 0.15 eV per atom

Cell: 5.203 5.244 5.203 Å, 90.00 90.00 90.00°
Positions (direct):
Pb1 0.000 0.500 0.000
K1 0.500 0.500 0.500
Os1 0.000 0.000 0.000
Mg1 0.000 0.000 0.500
Mg2 0.500 0.000 0.000



## KMgOsPd2 (PBE-GGA)

Data for a relaxed KMgOsPd2 crystal.

Calculated values
- ΔH_f (0 K): 2.03 eV per atom

Cell: 4.865 4.893 4.865 Å, 90.00 90.00 90.00°
Positions (direct):
K1 0.000 0.000 0.000
Os1 0.000 0.500 0.000
Mg1 0.500 0.500 0.500
Pd1 0.000 0.000 0.500
Pd2 0.500 0.000 0.000



## KMg2SbOs (PBE-GGA)

Data for a relaxed KMg2SbOs crystal.

Calculated values
- Formation energy from raw total energies: 1315 meV per atom

Cell: 5.341 6.250 5.341 Å, 90.00 90.00 90.00°
Positions (direct):
Sb1 0.000 0.000 0.000
K1 0.000 0.500 0.000
Os1 0.500 0.500 0.500
Mg1 0.000 0.000 0.500
Mg2 0.500 0.000 0.000



## KMgOsSe2 (PBE-GGA)

Data for a relaxed KMgOsSe2 crystal.

Calculated values
- Formation energy from raw total energies: 1903 meV per atom

Cell: 5.479 5.142 5.479 Å, 90.00 90.00 90.00°
Positions (direct):
K1 0.000 0.000 0.000
Os1 0.500 0.500 0.500
Mg1 0.000 0.500 0.000
Se1 0.000 0.000 0.500
Se2 0.500 0.000 0.000



## KMgSnOs2 (PBE-GGA)

Data for a relaxed KMgSnOs2 crystal.

Calculated values
- ΔH_f (0 K): 1.57 eV per atom

Cell: 5.032 5.307 5.032 Å, 90.00 90.00 90.00°
Positions (direct):
Mg1 0.000 0.500 0.000
K1 0.500 0.500 0.500
Os1 0.000 0.000 0.500
Os2 0.500 0.000 0.000
Sn1 0.000 0.000 0.000



## KMg2SnOs (PBE-GGA)

Data for a relaxed KMg2SnOs crystal.

Calculated values
- ΔH_f (0 K): 0.04 eV per atom

Cell: 5.186 5.186 5.116 Å, 90.00 90.00 90.00°
Positions (direct):
Mg1 0.000 0.500 0.000
Mg2 0.500 0.000 0.000
K1 0.500 0.500 0.500
Os1 0.000 0.000 0.000
Sn1 0.000 0.000 0.500



## K2SrMgOs (PBE-GGA)

Data for a relaxed K2SrMgOs crystal.

Calculated values
- ΔH_f (0 K): 1.97 eV per atom

Cell: 7.372 6.460 7.372 Å, 90.00 90.00 90.00°
Positions (direct):
Sr1 0.000 0.000 0.000
K1 0.000 0.000 0.500
K2 0.500 0.000 0.000
Os1 0.500 0.500 0.500
Mg1 0.000 0.500 0.000



Raw total energy list, top to bottom, in eV/atom: -2.674; -2.963; -3.219; -2.925; -2.782; -3.696; -2.834; -2.613; -2.275; -4.261; -3.867; -1.369